Entry 1:
PBE CuHg2Te2F2, relaxed; calculated density = 8.83 g cm⁻³; calculated total energy = -2.58 eV/atom; SG = P-4m2, No. 115
1.0
-2.9486 1.2878 2.2164
0.2879 -3.1904 2.2368
6.0860 4.4238 5.5262
Hg F Te Cu
2 2 2 1
Cartesian
-0.5007 1.3516 1.9923 Hg
5.2564 2.1209 5.7605 Hg
0.0000 0.0000 0.0000 F
-1.3303 -0.9513 2.2266 F
2.6687 3.6553 4.8701 Te
2.0870 -0.1829 2.8827 Te
1.7127 1.2606 4.9897 Cu

---

Entry 2:
PBE Nd2AlGeBr2, relaxed; calculated density = 5.09 g cm⁻³; spin magnetization = 0.0 μB/cell; calculated total energy = -4.77 eV/atom; SG = P3m1, No. 156
1.0
4.2096 0.0000 0.0000
-2.1048 3.6456 0.0000
0.0000 0.0000 11.6507
Br Al Nd Ge
2 1 2 1
Cartesian
0.0000 2.4304 9.8015 Br
0.0000 0.0000 1.8496 Br
0.0000 2.4304 5.6193 Al
2.1048 1.2152 3.6834 Nd
2.1048 1.2152 7.9575 Nd
0.0000 0.0000 6.0408 Ge

---

Entry 3:
PBE LiBePbAu, relaxed; excess energy over the best structure of this formula in the dataset = 0 meV per atom; calculated density = 10.48 g cm⁻³; SG = F-43m, No. 216
1.0
0.0000 3.2172 3.2172
3.2172 0.0000 3.2172
3.2172 3.2172 0.0000
Li Au Be Pb
1 1 1 1
Cartesian
3.2172 3.2172 3.2172 Li
4.8258 4.8258 4.8258 Au
0.0000 0.0000 0.0000 Be
1.6086 1.6086 1.6086 Pb

---

Entry 4:
PBE Pm3Zn8Cd3, relaxed; calculated density = 7.66 g cm⁻³; spin magnetization = 0.0 μB/cell; DFT formation energy = -0.329 eV/atom; SG = Immm, No. 71
1.0
-2.2570 4.5586 6.8252
2.2570 -4.5586 6.8252
2.2570 4.5586 -6.8252
Cd Zn Pm
3 8 3
Cartesian
0.0000 6.4310 0.0000 Cd
0.0000 0.0000 6.8252 Cd
0.0000 2.6863 0.0000 Cd
2.2570 2.4682 -2.0226 Zn
0.0000 2.0904 8.8479 Zn
2.2570 3.3272 -4.5660 Zn
2.2570 3.3272 4.5660 Zn
0.0000 1.2314 2.2592 Zn
2.2570 2.4682 2.0226 Zn
0.0000 1.2314 11.3912 Zn
0.0000 2.0904 4.8026 Zn
2.2570 0.0000 4.0481 Pm
2.2570 0.0000 0.0000 Pm
0.0000 4.5586 2.7771 Pm

---

Entry 5:
PBE HoNiIr, relaxed; calculated density = 12.33 g cm⁻³; spin magnetization = 0.4 μB/cell; DFT formation energy = -0.215 eV/atom; SG = F-43m, No. 216
1.0
-1.4512 2.2292 3.3714
-3.4700 2.4966 -0.4094
-3.6887 -1.1236 1.8902
Ir Ni Ho
1 1 1
Cartesian
-6.4574 2.7016 3.6392 Ir
0.0000 0.0000 0.0000 Ni
-2.1525 0.9005 1.2131 Ho

---

Entry 6:
PBE TmAlTlTe3, relaxed; excess energy over the best structure of this formula in the dataset = 27 meV per atom; calculated density = 6.89 g cm⁻³; spin magnetization = 0.0 μB/cell; SG = Pnma, No. 62
1.0
11.9028 0.0000 0.0000
0.0000 4.9678 0.0000
0.0000 0.0000 12.7601
Tm Te Tl Al
4 12 4 4
Cartesian
0.2710 3.7258 2.3320 Tm
11.6318 1.2419 10.4281 Tm
6.2224 3.7258 4.0481 Tm
5.6804 1.2419 8.7121 Tm
2.5373 1.2419 8.8150 Te
5.3799 3.7258 10.7460 Te
6.5229 1.2419 2.0142 Te
10.8724 1.2419 0.8425 Te
11.3312 3.7258 8.3942 Te
1.0304 3.7258 11.9176 Te
4.9210 1.2419 5.5375 Te
8.4887 1.2419 10.3252 Te
3.4141 3.7258 2.4349 Te
6.9817 3.7258 7.2226 Te
9.3655 3.7258 3.9452 Te
0.5715 1.2419 4.3659 Te
8.1713 3.7258 0.0597 Tl
2.2199 3.7258 6.3203 Tl
3.7315 1.2419 12.7004 Tl
9.6829 1.2419 6.4398 Tl
2.8475 3.7258 9.9056 Al
9.0552 1.2419 2.8546 Al
8.7989 3.7258 9.2346 Al
3.1038 1.2419 3.5255 Al

---

Among the records above, which one has the lowest calculated density? Nd2AlGeBr2

---

Number 5 is which compound? HoNiIr

---

Which value of calculated density does entry 4 give? 7.66 g cm⁻³

---

Which formula does entry 2 have? Nd2AlGeBr2